K6I2Cl2O after structural relaxation, computed with PBE.

Summary:
* calculated density: 2.262 g/cm³

Unit cell a=8.0190 b=13.2131 c=8.4323 alpha=90.00 beta=109.02 gamma=90.00
Space group C2/m (No. 12)
Unique sites:
K1 0.2040 0.1500 0.1885 x8
K2 0.2046 0.0000 0.8125 x4
I1 0.0000 0.1805 0.5000 x4
Cl1 0.0000 0.3409 0.0000 x4
O1 0.0000 0.0000 0.0000 x2

K2IClO after structural relaxation, computed with PBE.

Summary:
* calculated density: 1.999 g/cm³

Unit cell a=6.0674 b=6.0674 c=5.7877 alpha=90.00 beta=90.00 gamma=90.00
Space group P4/mmm (No. 123)
Unique sites:
K1 0.0000 0.5000 0.0000 x2
I1 0.0000 0.0000 0.5000 x1
Cl1 0.0000 0.0000 0.0000 x1
O1 0.5000 0.5000 0.5000 x1

K4IClO after structural relaxation, computed with PBE.

Summary:
* calculated density: 2.363 g/cm³

Unit cell a=7.4328 b=16.9877 c=7.4531 alpha=90.00 beta=90.00 gamma=90.00
Space group Cmcm (No. 63)
Unique sites:
K1 0.0000 0.0919 0.2500 x4
K2 0.0000 0.3963 0.2500 x4
K3 0.2500 0.2500 0.0000 x8
I1 0.0000 0.4002 0.7500 x4
Cl1 0.0000 0.1101 0.7500 x4
O1 0.0000 0.2458 0.2500 x4

K2OsI2Cl4 after structural relaxation, computed with PBE.

Summary:
* calculated density: 3.758 g/cm³

Unit cell a=7.4171 b=7.4171 c=10.6676 alpha=90.00 beta=90.00 gamma=90.00
Space group I4/mmm (No. 139)
Unique sites:
K1 0.0000 0.5000 0.2500 x4
Os1 0.0000 0.0000 0.0000 x2
I1 0.0000 0.0000 0.2539 x4
Cl1 0.2242 0.2242 0.0000 x8

KP2ICl after structural relaxation, computed with PBE.

Summary:
* polymorph energy (0 for the lowest one): 0.5552 eV/atom
* calculated density: 1.788 g/cm³

Unit cell a=6.6472 b=6.6472 c=5.5353 alpha=90.00 beta=90.00 gamma=90.00
Space group P4/mmm (No. 123)
Unique sites:
K1 0.0000 0.0000 0.0000 x1
P1 0.0000 0.5000 0.0000 x2
I1 0.5000 0.5000 0.5000 x1
Cl1 0.0000 0.0000 0.5000 x1

KP2ICl after structural relaxation, computed with PBE.

Summary:
* polymorph energy (0 for the lowest one): 0.0000 eV/atom
* calculated density: 2.393 g/cm³

Unit cell a=5.0675 b=5.0675 c=7.1187 alpha=90.00 beta=90.00 gamma=90.00
Space group P4/mmm (No. 123)
Unique sites:
K1 0.0000 0.0000 0.0000 x1
P1 0.0000 0.5000 0.5000 x2
I1 0.5000 0.5000 0.5000 x1
Cl1 0.5000 0.5000 0.0000 x1

KPbICl2 after structural relaxation, computed with PBE.

Summary:
* polymorph energy (0 for the lowest one): 0.0115 eV/atom
* calculated density: 3.831 g/cm³

Unit cell a=5.5395 b=5.5395 c=6.2734 alpha=90.00 beta=90.00 gamma=90.00
Space group P4/mmm (No. 123)
Unique sites:
K1 0.0000 0.0000 0.0000 x1
Pb1 0.5000 0.5000 0.5000 x1
I1 0.5000 0.5000 0.0000 x1
Cl1 0.0000 0.5000 0.5000 x2

KPbI2Cl after structural relaxation, computed with PBE.

Summary:
* polymorph energy (0 for the lowest one): 0.0863 eV/atom
* calculated density: 3.865 g/cm³

Unit cell a=6.3917 b=6.3917 c=5.6322 alpha=90.00 beta=90.00 gamma=90.00
Space group P4/mmm (No. 123)
Unique sites:
K1 0.0000 0.0000 0.0000 x1
Pb1 0.5000 0.5000 0.5000 x1
I1 0.0000 0.5000 0.5000 x2
Cl1 0.5000 0.5000 0.0000 x1

KPbI2Cl after structural relaxation, computed with PBE.

Summary:
* polymorph energy (0 for the lowest one): 0.0000 eV/atom
* calculated density: 4.472 g/cm³

Unit cell a=4.6945 b=15.4096 c=10.9952 alpha=90.00 beta=90.00 gamma=90.00
Space group Cmcm (No. 63)
Unique sites:
K1 0.0000 0.2147 0.2500 x4
Pb1 0.0000 0.5000 0.0000 x4
I1 0.0000 0.1406 0.5595 x8
Cl1 0.0000 0.4276 0.7500 x4

KPbICl2 after structural relaxation, computed with PBE.

Summary:
* polymorph energy (0 for the lowest one): 0.0000 eV/atom
* calculated density: 4.210 g/cm³

Unit cell a=4.7912 b=4.7912 c=15.2616 alpha=90.00 beta=90.00 gamma=90.00
Space group I4mm (No. 107)
Unique sites:
K1 0.0000 0.0000 0.0000 x2
Pb1 0.0000 0.0000 0.7313 x2
I1 0.0000 0.0000 0.3671 x2
Cl1 0.0000 0.5000 0.1340 x4

K2PbI2Cl2 after structural relaxation, computed with PBE.

Summary:
* calculated density: 3.457 g/cm³

Unit cell a=5.6549 b=5.6549 c=18.3275 alpha=90.00 beta=90.00 gamma=90.00
Space group I4/mmm (No. 139)
Unique sites:
K1 0.0000 0.0000 0.1320 x4
Pb1 0.0000 0.0000 0.5000 x2
I1 0.0000 0.0000 0.3250 x4
Cl1 0.0000 0.5000 0.0000 x4

K2PtI2Cl4 after structural relaxation, computed with PBE.

Summary:
* calculated density: 3.794 g/cm³

Unit cell a=7.5315 b=7.5315 c=10.3214 alpha=90.00 beta=90.00 gamma=90.00
Space group I4/mmm (No. 139)
Unique sites:
K1 0.0000 0.5000 0.2500 x4
Pt1 0.0000 0.0000 0.0000 x2
I1 0.0000 0.0000 0.2610 x4
Cl1 0.2211 0.2211 0.0000 x8

K2PuI4Cl2 after structural relaxation, computed with PBE.

Summary:
* calculated density: 3.883 g/cm³

Unit cell a=13.3054 b=8.4352 c=8.2471 alpha=90.00 beta=123.67 gamma=90.00
Space group C2/m (No. 12)
Unique sites:
K1 0.2341 0.0000 0.2411 x4
Pu1 0.0000 0.0000 0.5000 x2
I1 0.0473 0.2508 0.7944 x8
Cl1 0.2253 0.0000 0.6188 x4

KPuICl2 after structural relaxation, computed with PBE.

Summary:
* calculated density: 4.020 g/cm³

Unit cell a=5.5130 b=5.5130 c=6.5366 alpha=90.00 beta=90.00 gamma=90.00
Space group P4mm (No. 99)
Unique sites:
K1 0.0000 0.0000 0.0000 x1
Pu1 0.5000 0.5000 0.3427 x1
I1 0.5000 0.5000 0.8268 x1
Cl1 0.0000 0.5000 0.2785 x2

KPuICl4 after structural relaxation, computed with PBE.

Summary:
* calculated density: 3.673 g/cm³

Unit cell a=20.6073 b=7.7404 c=6.4894 alpha=90.00 beta=105.42 gamma=90.00
Space group C2/m (No. 12)
Unique sites:
K1 0.1785 0.0000 0.1070 x4
Pu1 0.1029 0.5000 0.5123 x4
I1 0.0053 0.0000 0.2544 x4
Cl1 0.0203 0.5000 0.7681 x4
Cl2 0.1586 0.5000 0.2071 x4
Cl3 0.1813 0.2563 0.7049 x8

KRbICl6 after structural relaxation, computed with PBE.

Summary:
* calculated density: 2.128 g/cm³

Unit cell a=8.1185 b=12.5092 c=7.1341 alpha=90.00 beta=90.48 gamma=90.00
Space group C2 (No. 5)
Unique sites:
K1 0.0000 0.0000 0.0000 x2
Rb1 0.0000 0.3065 0.5000 x2
I1 0.0000 0.6426 0.0000 x2
Cl1 0.1372 0.7847 0.1949 x4
Cl2 0.1419 0.5013 0.1935 x4
Cl3 0.2110 0.1328 0.2661 x4

K2Rb4I3Cl2 after structural relaxation, computed with PBE.

Summary:
* calculated density: 2.545 g/cm³

Unit cell a=6.3390 b=6.3390 c=28.3050 alpha=90.00 beta=90.00 gamma=90.00
Space group I4/mmm (No. 139)
Unique sites:
K1 0.0000 0.0000 0.2135 x4
Rb1 0.0000 0.5000 0.0874 x8
I1 0.0000 0.0000 0.3375 x4
I2 0.0000 0.0000 0.5000 x2
Cl1 0.0000 0.0000 0.1031 x4

K2RbICl after structural relaxation, computed with PBE.

Summary:
* calculated density: 2.154 g/cm³

Unit cell a=6.1489 b=6.1489 c=6.6487 alpha=90.00 beta=90.00 gamma=90.00
Space group P4/mmm (No. 123)
Unique sites:
K1 0.0000 0.5000 0.0000 x2
Rb1 0.0000 0.0000 0.5000 x1
I1 0.5000 0.5000 0.5000 x1
Cl1 0.0000 0.0000 0.0000 x1

KRb2ICl4 after structural relaxation, computed with PBE.

Summary:
* calculated density: 2.444 g/cm³

Unit cell a=12.1256 b=15.1737 c=9.1343 alpha=90.00 beta=129.27 gamma=90.00
Space group C2/c (No. 15)
Unique sites:
K1 0.0000 0.0000 0.0000 x4
Rb1 0.0000 0.5000 0.0000 x4
Rb2 0.2500 0.2500 0.0000 x4
I1 0.2500 0.2500 0.5000 x4
Cl1 0.0649 0.2167 0.5473 x8
Cl2 0.2439 0.4596 0.9739 x8

K2ReI2Cl4 after structural relaxation, computed with PBE.

Summary:
* calculated density: 3.639 g/cm³

Unit cell a=7.4618 b=7.4618 c=10.8173 alpha=90.00 beta=90.00 gamma=90.00
Space group I4/mmm (No. 139)
Unique sites:
K1 0.0000 0.5000 0.2500 x4
Re1 0.0000 0.0000 0.0000 x2
I1 0.0000 0.0000 0.2548 x4
Cl1 0.2249 0.2249 0.0000 x8

K3ReI2Cl6 after structural relaxation, computed with PBE.

Summary:
* calculated density: 2.970 g/cm³

Unit cell a=17.3059 b=8.7140 c=5.7139 alpha=90.00 beta=92.12 gamma=90.00
Space group C2/m (No. 12)
Unique sites:
K1 0.0000 0.0000 0.0000 x2
K2 0.2500 0.2500 0.5000 x4
Re1 0.0000 0.5000 0.5000 x2
I1 0.1969 0.0000 0.9530 x4
Cl1 0.0625 0.3083 0.2872 x8
Cl2 0.1037 0.5000 0.7672 x4

K2ReI4Cl2 after structural relaxation, computed with PBE.

Summary:
* calculated density: 4.132 g/cm³

Unit cell a=13.0690 b=8.0877 c=8.0604 alpha=90.00 beta=127.32 gamma=90.00
Space group C2/m (No. 12)
Unique sites:
K1 0.2487 0.0000 0.2878 x4
Re1 0.0000 0.0000 0.5000 x2
I1 0.0335 0.2403 0.7711 x8
Cl1 0.2244 0.0000 0.6661 x4

KRhI2Cl after structural relaxation, computed with PBE.

Summary:
* calculated density: 4.735 g/cm³

Unit cell a=5.5470 b=5.5470 c=4.9154 alpha=90.00 beta=90.00 gamma=90.00
Space group P4/mmm (No. 123)
Unique sites:
K1 0.0000 0.0000 0.0000 x1
Rh1 0.5000 0.5000 0.5000 x1
I1 0.0000 0.5000 0.5000 x2
Cl1 0.5000 0.5000 0.0000 x1

K5SI2Cl after structural relaxation, computed with PBE.

Summary:
* calculated density: 2.238 g/cm³

Unit cell a=4.8967 b=20.0148 c=15.6488 alpha=90.00 beta=90.00 gamma=90.00
Space group Cmc2_1 (No. 36)
Unique sites:
K1 0.0000 0.0062 0.0000 x4
K2 0.0000 0.1266 0.2188 x4
K3 0.0000 0.1968 0.6303 x4
K4 0.0000 0.2350 0.8697 x4
K5 0.0000 0.4253 0.2829 x4
S1 0.0000 0.2766 0.2455 x4
I1 0.0000 0.3644 0.5170 x4
I2 0.0000 0.4120 0.8948 x4
Cl1 0.0000 0.0317 0.6834 x4

no.,E_form (uncorrected) (eV/atom)
1,-1.52
2,-0.52
3,-1.43
4,-0.94
5,0.97
6,0.41
7,-1.22
8,-1.06
9,-1.15
10,-1.24
11,-1.33
12,-1.03
13,-1.37
14,-1.58
15,-1.57
16,-0.90
17,-1.43
18,-1.18
19,-1.46
20,-1.04
21,-1.10
22,-0.83
23,-0.66
24,-1.39